Record 1
HfFe2HRh: relaxed, PBE.

Unit cell a=3.723 b=3.723 c=4.290 alpha=90.00 beta=90.00 gamma=90.00
Site moments in Bohr magnetons follow the coordinates.
Positions (direct):
Rh 0.500 0.500 0.500  0.12
Hf 0.000 0.000 0.500  -0.28
Fe 0.000 0.500 0.000  2.09
Fe 0.500 0.000 0.000  2.09
H 0.000 0.000 0.000  -0.02

Summary:
VASP energy = -7.796 eV per atom
SG = P4/mmm



Record 2
KHg3P: relaxed, PBE.

Unit cell a=4.776 b=4.776 c=11.866 alpha=90.00 beta=90.00 gamma=90.00
Positions (direct):
K 0.000 0.000 0.750
K 0.500 0.500 0.250
Hg 0.000 0.500 0.012
Hg 0.500 0.000 0.012
Hg 0.500 0.000 0.512
Hg 0.000 0.500 0.512
Hg 0.000 0.000 0.356
Hg 0.500 0.500 0.856
P 0.000 0.000 0.141
P 0.500 0.500 0.641

Summary:
ΔE_f = -0.0884 eV per atom
energy above the lowest structure with this stoichiometry = 5.2 kJ per mole of atoms
VASP energy = -1.571 eV per atom
SG = I4mm



Record 3
Ag7Pd5: relaxed, PBE.

Unit cell a=4.738 b=5.096 c=9.951 alpha=105.53 beta=90.00 gamma=117.70
Positions (direct):
Ag 0.415 0.829 0.749
Ag 0.585 0.171 0.251
Ag 0.918 0.836 0.252
Ag 0.082 0.164 0.748
Ag 0.667 0.335 0.000
Ag 0.500 0.000 0.500
Ag 0.333 0.665 0.000
Pd 0.168 0.335 0.500
Pd 0.832 0.665 0.500
Pd 0.249 0.498 0.251
Pd 0.751 0.502 0.749
Pd 0.000 0.000 0.000

Summary:
ΔE_f = 0.0065 eV per atom
energy above the lowest structure with this stoichiometry = 3.7 kJ per mole of atoms
VASP energy = -3.820 eV per atom
SG = C2/m



Record 4
ZnSb2Pt: relaxed, PBE.

Unit cell a=4.021 b=4.021 c=6.876 alpha=72.65 beta=72.65 gamma=60.54
Positions (direct):
Pt 0.250 0.250 0.250
Sb 0.991 0.991 0.030
Sb 0.509 0.509 0.470
Zn 0.750 0.750 0.750

Summary:
energy relative to the elements, uncorrected = -0.77 eV per formula unit
VASP energy = -4.081 eV per atom
SG = C2/m



Record 5
Ce4InSb: relaxed, PBE.

Unit cell a=5.125 b=6.184 c=6.184 alpha=96.63 beta=65.52 gamma=65.52
Site moments in Bohr magnetons follow the coordinates.
Positions (direct):
Ce 0.749 0.576 0.926  0.47
Ce 0.749 0.926 0.576  0.47
Ce 0.251 0.424 0.074  0.47
Ce 0.251 0.074 0.424  0.47
In 0.000 0.000 0.000  -0.01
Sb 0.500 0.500 0.500  -0.01

Summary:
energy relative to the elements, uncorrected = -1.90 eV per formula unit
energy above the lowest structure with this stoichiometry = 0.4 kJ per mole of atoms
VASP energy = -5.416 eV per atom
SG = Immm



Record 6
V4P2H: relaxed, PBE.

Unit cell a=3.215 b=5.726 c=5.765 alpha=119.76 beta=106.19 gamma=90.00
Positions (direct):
V 0.891 0.197 0.781
V 0.109 0.803 0.219
V 0.614 0.264 0.228
V 0.386 0.736 0.772
P 0.733 0.731 0.466
P 0.267 0.269 0.534
H 0.000 0.000 0.000

Summary:
energy above the lowest structure with this stoichiometry = 30.6 kJ per mole of atoms
VASP energy = -7.499 eV per atom
SG = C2/m



| no. | density (g/cm³) | total moment (μB per formula unit) |
| --- | --- | --- |
| 1 | 11.007 | 3.94 |
| 2 | 8.245 | 0.00 |
| 3 | 10.540 | 0.00 |
| 4 | 9.215 | 0.00 |
| 5 | 8.692 | 2.20 |
| 6 | 5.077 | 0.00 |